# 1
VASP calculation (GGA-PBE) on a relaxed structure of Sm2Ga3NiIr4.

a = 4.1752 Å, b = 4.1752 Å, c = 10.4436 Å
α = 90.00°, β = 90.00°, γ = 90.00°
Fractional coordinates of all 10 atoms:
Sm1 0.0000 0.5000 0.2484
Sm2 0.5000 0.0000 0.7516
Ga1 0.0000 0.5000 0.8687
Ga2 0.5000 0.0000 0.1313
Ga3 0.5000 0.5000 0.5000
Ni1 0.0000 0.0000 0.5000
Ir1 0.0000 0.0000 0.0000
Ir2 0.0000 0.5000 0.6336
Ir3 0.5000 0.0000 0.3664
Ir4 0.5000 0.5000 0.0000

ΔH_f (0 K) (eV/atom): -0.60
SG: P-4m2 (115)
Fermi-level density of states (states/eV/atom): 0.769
Raw total energy (eV/atom): -6.57



# 2
VASP calculation (GGA-PBE) on a relaxed structure of GaNiSnIr2.

a = 4.5620 Å, b = 4.5620 Å, c = 4.9916 Å
α = 90.00°, β = 90.00°, γ = 90.00°
Fractional coordinates of all 5 atoms:
Ga1 0.0000 0.0000 0.0000
Ni1 0.5000 0.5000 0.5000
Sn1 0.0000 0.0000 0.5000
Ir1 0.0000 0.5000 0.0000
Ir2 0.5000 0.0000 0.0000

ΔH_f (0 K) (eV/atom): 1.30
SG: P4/mmm (123)
Fermi-level density of states (states/eV/atom): 1.044
Raw total energy (eV/atom): -4.81